Crystalline LiCrFe2 at its relaxed geometry, computed with PBE-GGA.

The space group is Fm-3m (No. 225) and the conventional cell measures 5.542, 5.542 and 5.542 Å, with angles of 90.00, 90.00 and 90.00 degrees. The inequivalent atoms are Li at (0.000, 0.000, 0.000), Cr at (0.000, 0.000, 0.500) and Fe at (0.250, 0.250, 0.250).

The calculation puts the magnetization at 0.236 μB per atom. Its polymorph energy (0 for the lowest one) is 23 kJ/mol of formula units. The value obtained for the formation energy is 251 meV per atom.